Zr2ZnPb: relaxed, GGA-PBEsol.

- Formation energy from the elements: -17.9 kJ/mol of atoms

Unit cell a=4.1361 b=4.1476 c=5.6284 alpha=111.62 beta=111.56 gamma=90.00
Fractional coordinates of all 4 atoms:
Pb  0.4997  0.4997  0.9994
Zn  0.7502  0.2502  0.5003
Zr  0.0002  0.0002  0.0004
Zr  0.2499  0.7499  0.4999

=====

ZrZn2Pb: relaxed, GGA-PBEsol.

- Formation energy from the elements: -7.6 kJ/mol of atoms

Unit cell a=3.9904 b=4.0606 c=5.4784 alpha=111.75 beta=111.36 gamma=90.00
Fractional coordinates of all 4 atoms:
Pb  0.2533  0.2533  0.5065
Zn  0.0121  0.5121  0.0241
Zn  0.7384  0.7384  0.4769
Zr  0.4962  0.9962  0.9924

=====

ZrZnPb2: relaxed, GGA-PBEsol.

- Formation energy from the elements: 1.9 kJ/mol of atoms

Unit cell a=3.4836 b=4.2117 c=6.2009 alpha=90.00 beta=90.00 gamma=90.00
Fractional coordinates of all 4 atoms:
Pb  0.0000  0.0000  0.9701
Pb  0.5000  0.5000  0.2726
Zn  0.0000  0.0000  0.5124
Zr  0.5000  0.5000  0.7449

=====

ZrZn2Pb: relaxed, GGA-PBEsol.

- Formation energy from the elements: 23.8 kJ/mol of atoms

Unit cell a=4.8142 b=4.8142 c=4.8142 alpha=60.00 beta=60.00 gamma=60.00
Fractional coordinates of all 4 atoms:
Pb  0.5000  0.5000  0.5000
Zn  0.0000  0.0000  0.0000
Zn  0.2500  0.2500  0.2500
Zr  0.7500  0.7500  0.7500

=====

Zr3Pb: relaxed, GGA-PBEsol.

- Formation energy from the elements: -6.9 kJ/mol of atoms

Unit cell a=3.1898 b=3.1898 c=9.0803 alpha=90.00 beta=90.00 gamma=96.52
Fractional coordinates of all 4 atoms:
Pb  0.0000  0.0000  0.0000
Zr  0.5000  0.5000  0.7422
Zr  0.0000  0.0000  0.5000
Zr  0.5000  0.5000  0.2578

=====

Zr3Pb: relaxed, GGA-PBEsol.

- Formation energy from the elements: -6.9 kJ/mol of atoms

Unit cell a=3.1347 b=5.1985 c=5.5405 alpha=90.00 beta=94.87 gamma=90.00
Fractional coordinates of all 4 atoms:
Pb  0.0000  0.0000  0.0000
Zr  0.2316  0.5000  0.7350
Zr  0.5000  0.0000  0.5000
Zr  0.7684  0.5000  0.2650

=====

Zr3Pb: relaxed, GGA-PBEsol.

- Formation energy from the elements: -5.4 kJ/mol of atoms

Unit cell a=4.9789 b=4.9789 c=4.9789 alpha=60.00 beta=60.00 gamma=60.00
Fractional coordinates of all 4 atoms:
Pb  0.0000  0.0000  0.0000
Zr  0.7500  0.7500  0.7500
Zr  0.5000  0.5000  0.5000
Zr  0.2500  0.2500  0.2500

=====

Zr3Pb: relaxed, GGA-PBEsol.

- Formation energy from the elements: -17.5 kJ/mol of atoms

Unit cell a=4.3290 b=4.3290 c=5.6430 alpha=112.56 beta=112.56 gamma=90.00
Fractional coordinates of all 4 atoms:
Pb  0.0000  0.0000  0.0000
Zr  0.7500  0.2500  0.5000
Zr  0.5000  0.5000  0.0000
Zr  0.2500  0.7500  0.5000

=====

ZrPb4: relaxed, GGA-PBEsol.

- Offset from the most stable computed form: 1.53 eV/f.u.
- Formation energy from the elements: 34.2 kJ/mol of atoms

Unit cell a=4.2095 b=4.2095 c=8.7930 alpha=103.85 beta=103.85 gamma=90.00
Fractional coordinates of all 5 atoms:
Pb  0.7500  0.2500  0.5000
Pb  0.2500  0.7500  0.5000
Pb  0.5890  0.5890  0.1779
Pb  0.4110  0.4110  0.8221
Zr  0.0000  0.0000  0.0000

=====

ZrPb4: relaxed, GGA-PBEsol.

- Offset from the most stable computed form: 0.00 eV/f.u.
- Formation energy from the elements: 4.6 kJ/mol of atoms

Unit cell a=5.8787 b=5.8787 c=5.8787 alpha=109.47 beta=109.47 gamma=109.47
Fractional coordinates of all 5 atoms:
Pb  0.0000  0.0000  0.5000
Pb  0.0000  0.5000  0.0000
Pb  0.5000  0.0000  0.0000
Pb  0.5000  0.5000  0.5000
Zr  0.0000  0.0000  0.0000

=====

Zr2Pb: relaxed, GGA-PBEsol.

- Formation energy from the elements: -28.0 kJ/mol of atoms

Unit cell a=4.8547 b=5.9706 c=9.1992 alpha=90.00 beta=90.00 gamma=90.00
Fractional coordinates of all 12 atoms:
Pb  0.7500  0.8356  0.1312
Pb  0.2500  0.6644  0.6312
Pb  0.7500  0.3356  0.3688
Pb  0.2500  0.1644  0.8688
Zr  0.7500  0.3831  0.6989
Zr  0.2500  0.1169  0.1989
Zr  0.7500  0.8831  0.8011
Zr  0.2500  0.6169  0.3011
Zr  0.7500  0.3540  0.0369
Zr  0.2500  0.1460  0.5369
Zr  0.7500  0.8540  0.4631
Zr  0.2500  0.6460  0.9631

=====

Zr2Pb: relaxed, GGA-PBEsol.

- Formation energy from the elements: -26.0 kJ/mol of atoms

Unit cell a=5.0682 b=5.0682 c=5.9512 alpha=90.00 beta=90.00 gamma=120.00
Fractional coordinates of all 6 atoms:
Pb  0.6667  0.3333  0.7500
Pb  0.3333  0.6667  0.2500
Zr  0.0000  0.0000  0.0000
Zr  0.0000  0.0000  0.5000
Zr  0.6667  0.3333  0.2500
Zr  0.3333  0.6667  0.7500

=====

Zr3Pb2: relaxed, GGA-PBEsol.

- Formation energy from the elements: 2.4 kJ/mol of atoms

Unit cell a=5.0012 b=5.0012 c=5.8871 alpha=90.00 beta=90.00 gamma=120.00
Fractional coordinates of all 5 atoms:
Pb  0.3333  0.6667  0.7478
Pb  0.6667  0.3333  0.2522
Zr  0.0000  0.0000  0.0000
Zr  0.3333  0.6667  0.2459
Zr  0.6667  0.3333  0.7541

=====

Zr2Pb: relaxed, GGA-PBEsol.

- Formation energy from the elements: 10.4 kJ/mol of atoms

Unit cell a=3.1327 b=5.2025 c=5.2819 alpha=119.50 beta=107.25 gamma=90.00
Fractional coordinates of all 3 atoms:
Pb  0.0000  0.0000  0.0000
Zr  0.8092  0.3092  0.6185
Zr  0.1908  0.6908  0.3815

=====

Pm2PdRu: relaxed, GGA-PBEsol.

- Formation energy from the elements: -40.7 kJ/mol of atoms

Unit cell a=4.9209 b=4.9209 c=4.9209 alpha=60.00 beta=60.00 gamma=60.00
Fractional coordinates of all 4 atoms:
Ru  0.0000  0.0000  0.0000
Pd  0.5000  0.5000  0.5000
Pm  0.2500  0.2500  0.2500
Pm  0.7500  0.7500  0.7500

=====

PmSbPd2: relaxed, GGA-PBEsol.

- Calculated total energy: -6.228 eV/atom

Unit cell a=4.8060 b=4.8060 c=4.8060 alpha=60.00 beta=60.00 gamma=60.00
Fractional coordinates of all 4 atoms:
Sb  0.0000  0.0000  0.0000
Pd  0.2500  0.2500  0.2500
Pd  0.7500  0.7500  0.7500
Pm  0.5000  0.5000  0.5000

=====

Pm2SiPd: relaxed, GGA-PBEsol.

- Calculated total energy: -6.139 eV/atom

Unit cell a=5.0367 b=5.0367 c=5.0367 alpha=60.00 beta=60.00 gamma=60.00
Fractional coordinates of all 4 atoms:
Si  0.0000  0.0000  0.0000
Pd  0.5000  0.5000  0.5000
Pm  0.2500  0.2500  0.2500
Pm  0.7500  0.7500  0.7500

=====

PrPd3: relaxed, GGA-PBEsol.

- Formation energy from the elements: -70.9 kJ/mol of atoms

Unit cell a=4.1388 b=4.1388 c=4.1388 alpha=90.00 beta=90.00 gamma=90.00
Fractional coordinates of all 4 atoms:
Pr  0.0000  0.0000  0.0000
Pd  0.5000  0.5000  0.0000
Pd  0.5000  0.0000  0.5000
Pd  0.0000  0.5000  0.5000

=====

PrPd3S4: relaxed, GGA-PBEsol.

- Calculated total energy: -6.044 eV/atom

Unit cell a=6.6623 b=6.6623 c=6.6623 alpha=90.00 beta=90.00 gamma=90.00
Fractional coordinates of all 16 atoms:
Pr  0.5000  0.5000  0.5000
Pr  0.0000  0.0000  0.0000
Pd  0.5000  0.0000  0.7500
Pd  0.0000  0.2500  0.5000
Pd  0.7500  0.5000  0.0000
Pd  0.5000  0.0000  0.2500
Pd  0.0000  0.7500  0.5000
Pd  0.2500  0.5000  0.0000
S  0.7500  0.2500  0.7500
S  0.2500  0.7500  0.2500
S  0.7500  0.7500  0.2500
S  0.2500  0.2500  0.7500
S  0.2500  0.7500  0.7500
S  0.7500  0.2500  0.2500
S  0.2500  0.2500  0.2500
S  0.7500  0.7500  0.7500

=====

Pr3Sb5Pd6: relaxed, GGA-PBEsol.

- Calculated total energy: -6.211 eV/atom

Unit cell a=4.4308 b=10.0402 c=13.3530 alpha=90.00 beta=90.00 gamma=90.00
Fractional coordinates of all 28 atoms:
Pr  0.0000  0.2434  0.0000
Pr  0.5000  0.7566  0.5000
Pr  0.0000  0.2471  0.6763
Pr  0.5000  0.7529  0.8237
Pr  0.0000  0.2471  0.3237
Pr  0.5000  0.7529  0.1763
Sb  0.0000  0.5221  0.8721
Sb  0.5000  0.4779  0.6279
Sb  0.0000  0.5221  0.1279
Sb  0.5000  0.4779  0.3721
Sb  0.0000  0.8654  0.6644
Sb  0.5000  0.1346  0.8356
Sb  0.0000  0.8654  0.3356
Sb  0.5000  0.1346  0.1644
Sb  0.0000  0.8243  0.0000
Sb  0.5000  0.1757  0.5000
Pd  0.0000  0.9899  0.8432
Pd  0.5000  0.0101  0.6568
Pd  0.0000  0.9899  0.1568
Pd  0.5000  0.0101  0.3432
Pd  0.5000  0.9816  0.0000
Pd  0.0000  0.0184  0.5000
Pd  0.0000  0.6063  0.6802
Pd  0.5000  0.3937  0.8198
Pd  0.0000  0.6063  0.3198
Pd  0.5000  0.3937  0.1802
Pd  0.5000  0.5258  0.0000
Pd  0.0000  0.4742  0.5000

=====

Respective magnetization values: 0.000, 0.000, 0.000, 0.000, 0.000, 0.000, 0.001, 0.000, 0.000, 0.000, 0.000, 0.000, 0.000, 0.000, 0.000, 0.000, 0.000, 0.000, 0.000, 0.000 μB per atom.